# Zn3As2H8O12 GGA-PBEsol relaxed
# - total DFT energy (no corrections) (eV/atom) = -5.39
# - D(E_F) (states/eV per cell) = 0.0
# - M_tot (μB per cell) = 0.000
data_Zn3As2H8O12
_chemical_formula_sum 'Zn3 As2 H8 O12'
_symmetry_space_group_name_H-M 'P -1'
_symmetry_Int_Tables_number 2
_symmetry_space_group_name_Hall '-P 1'
_cell_length_a 5.3795
_cell_length_b 5.9582
_cell_length_c 7.5784
_cell_angle_alpha 93.36
_cell_angle_beta 95.11
_cell_angle_gamma 90.93
loop_
_atom_site_label
_atom_site_type_symbol
_atom_site_fract_x
_atom_site_fract_y
_atom_site_fract_z
_atom_site_occupancy
Zn1 Zn 0.0000 0.0000 0.0000 1
Zn2 Zn 0.3156 0.2410 0.3999 1
As1 As 0.1605 0.7374 0.3692 1
H1 H 0.2493 0.7726 0.7725 1
H2 H 0.2514 0.3958 0.0405 1
H3 H 0.2647 0.3037 0.8348 1
H4 H 0.4060 0.7735 0.9642 1
O1 O 0.1502 0.3118 0.6132 1
O2 O 0.1890 0.9745 0.2501 1
O3 O 0.2322 0.7652 0.9035 1
O4 O 0.2808 0.2599 0.9614 1
O5 O 0.2816 0.5112 0.2607 1
O6 O 0.3244 0.8046 0.5701 1

---

# ScCuPt2 GGA-PBEsol relaxed
# - total DFT energy (no corrections) (eV/atom) = -7.02
# - D(E_F) (states/eV per cell) = 1.2
# - M_tot (μB per cell) = 0.000
data_ScCuPt2
_chemical_formula_sum 'Sc1 Cu1 Pt2'
_symmetry_space_group_name_H-M 'P m m m'
_symmetry_Int_Tables_number 47
_symmetry_space_group_name_Hall '-P 2 2'
_cell_length_a 2.9406
_cell_length_b 3.6097
_cell_length_c 5.6417
_cell_angle_alpha 90.00
_cell_angle_beta 90.00
_cell_angle_gamma 90.00
loop_
_atom_site_label
_atom_site_type_symbol
_atom_site_fract_x
_atom_site_fract_y
_atom_site_fract_z
_atom_site_occupancy
Sc1 Sc 0.0000 0.0000 0.0000 1
Cu1 Cu 0.0000 0.0000 0.5000 1
Pt1 Pt 0.5000 0.5000 0.2625 1

---

# CsLiAl2Sb GGA-PBEsol relaxed
# - total DFT energy (no corrections) (eV/atom) = -2.60
# - D(E_F) (states/eV per cell) = 3.8
# - M_tot (μB per cell) = 0.001
data_CsLiAl2Sb
_chemical_formula_sum 'Cs1 Li1 Al2 Sb1'
_symmetry_space_group_name_H-M 'P 4/m m m'
_symmetry_Int_Tables_number 123
_symmetry_space_group_name_Hall '-P 4 2'
_cell_length_a 5.0662
_cell_length_b 5.0662
_cell_length_c 5.3090
_cell_angle_alpha 90.00
_cell_angle_beta 90.00
_cell_angle_gamma 90.00
loop_
_atom_site_label
_atom_site_type_symbol
_atom_site_fract_x
_atom_site_fract_y
_atom_site_fract_z
_atom_site_occupancy
Cs1 Cs 0.0000 0.0000 0.0000 1
Li1 Li 0.0000 0.0000 0.5000 1
Al1 Al 0.0000 0.5000 0.5000 1
Sb1 Sb 0.5000 0.5000 0.0000 1

---

# K5BaTaP4 GGA-PBEsol relaxed
# - total DFT energy (no corrections) (eV/atom) = -4.54
# - M_tot (μB per cell) = 0.000
data_K5BaTaP4
_chemical_formula_sum 'K20 Ba4 Ta4 P16'
_symmetry_space_group_name_H-M 'C 1 c 1'
_symmetry_Int_Tables_number 9
_symmetry_space_group_name_Hall 'C -2yc'
_cell_length_a 10.0370
_cell_length_b 17.4845
_cell_length_c 7.8783
_cell_angle_alpha 90.00
_cell_angle_beta 91.53
_cell_angle_gamma 90.00
loop_
_atom_site_label
_atom_site_type_symbol
_atom_site_fract_x
_atom_site_fract_y
_atom_site_fract_z
_atom_site_occupancy
K1 K 0.0000 0.0302 0.0000 1
K2 K 0.2029 0.2338 0.9993 1
K3 K 0.2105 0.4307 0.1591 1
K4 K 0.2720 0.0702 0.7026 1
K5 K 0.4924 0.1385 0.1736 1
Ba1 Ba 0.2980 0.2659 0.4911 1
Ta1 Ta 0.4954 0.3329 0.8915 1
P1 P 0.1963 0.1041 0.3099 1
P2 P 0.3009 0.3959 0.7786 1
P3 P 0.4900 0.3282 0.1951 1
P4 P 0.4990 0.2028 0.7887 1

---

# ZrHg2Sb GGA-PBEsol relaxed
# - total DFT energy (no corrections) (eV/atom) = -3.96
# - D(E_F) (states/eV per cell) = 1.8
# - M_tot (μB per cell) = 0.000
data_ZrHg2Sb
_chemical_formula_sum 'Zr1 Hg2 Sb1'
_symmetry_space_group_name_H-M 'P 4 m m'
_symmetry_Int_Tables_number 99
_symmetry_space_group_name_Hall 'P 4 -2'
_cell_length_a 3.7983
_cell_length_b 3.7983
_cell_length_c 6.1771
_cell_angle_alpha 90.00
_cell_angle_beta 90.00
_cell_angle_gamma 90.00
loop_
_atom_site_label
_atom_site_type_symbol
_atom_site_fract_x
_atom_site_fract_y
_atom_site_fract_z
_atom_site_occupancy
Zr1 Zr 0.0000 0.0000 0.0000 1
Hg1 Hg 0.0000 0.0000 0.5023 1
Hg2 Hg 0.5000 0.5000 0.2818 1
Sb1 Sb 0.5000 0.5000 0.8052 1

---

# MgZnTc2 GGA-PBEsol relaxed
# - total DFT energy (no corrections) (eV/atom) = -6.39
# - D(E_F) (states/eV per cell) = 6.2
# - polymorph energy (0 for the lowest one) (meV per atom) = 94
# - M_tot (μB per cell) = 0.001
data_MgZnTc2
_chemical_formula_sum 'Mg4 Zn4 Tc8'
_symmetry_space_group_name_H-M 'F -4 3 m'
_symmetry_Int_Tables_number 216
_symmetry_space_group_name_Hall 'F -4 2 3'
_cell_length_a 6.1061
_cell_length_b 6.1061
_cell_length_c 6.1061
_cell_angle_alpha 90.00
_cell_angle_beta 90.00
_cell_angle_gamma 90.00
loop_
_atom_site_label
_atom_site_type_symbol
_atom_site_fract_x
_atom_site_fract_y
_atom_site_fract_z
_atom_site_occupancy
Mg1 Mg 0.0000 0.0000 0.0000 1
Zn1 Zn 0.2500 0.2500 0.2500 1
Tc1 Tc 0.0000 0.0000 0.5000 1
Tc2 Tc 0.2500 0.2500 0.7500 1

---

# LiCaIr2 GGA-PBEsol relaxed
# - total DFT energy (no corrections) (eV/atom) = -6.02
# - D(E_F) (states/eV per cell) = 2.6
# - polymorph energy (0 for the lowest one) (meV per atom) = 0
# - M_tot (μB per cell) = 0.000
data_LiCaIr2
_chemical_formula_sum 'Li1 Ca1 Ir2'
_symmetry_space_group_name_H-M 'P 1 2/m 1'
_symmetry_Int_Tables_number 10
_symmetry_space_group_name_Hall '-P 2y'
_cell_length_a 2.7645
_cell_length_b 4.3740
_cell_length_c 5.3418
_cell_angle_alpha 90.00
_cell_angle_beta 103.56
_cell_angle_gamma 90.00
loop_
_atom_site_label
_atom_site_type_symbol
_atom_site_fract_x
_atom_site_fract_y
_atom_site_fract_z
_atom_site_occupancy
Li1 Li 0.0000 0.0000 0.0000 1
Ca1 Ca 0.5000 0.0000 0.5000 1
Ir1 Ir 0.1565 0.5000 0.7859 1

---

# Li4V3P8O29 GGA-PBEsol relaxed
# - total DFT energy (no corrections) (eV/atom) = -7.58
# - D(E_F) (states/eV per cell) = 32.5
# - M_tot (μB per cell) = 4.289
data_Li4V3P8O29
_chemical_formula_sum 'Li16 V12 P32 O116'
_symmetry_space_group_name_H-M 'C 1 2 1'
_symmetry_Int_Tables_number 5
_symmetry_space_group_name_Hall 'C 2y'
_cell_length_a 16.4897
_cell_length_b 9.6613
_cell_length_c 14.2547
_cell_angle_alpha 90.00
_cell_angle_beta 93.96
_cell_angle_gamma 90.00
loop_
_atom_site_label
_atom_site_type_symbol
_atom_site_fract_x
_atom_site_fract_y
_atom_site_fract_z
_atom_site_occupancy
Li1 Li 0.0256 0.0000 0.2321 1
Li2 Li 0.0529 0.2941 0.7981 1
Li3 Li 0.1069 0.7927 0.8142 1
Li4 Li 0.1184 0.2482 0.3111 1
V1 V 0.0000 0.4435 0.0000 1
V2 V 0.0000 0.5948 0.5000 1
V3 V 0.2196 0.7808 0.9988 1
V4 V 0.2224 0.2465 0.5248 1
P1 P 0.0450 0.7394 0.0923 1
P2 P 0.0455 0.2953 0.5923 1
P3 P 0.1136 0.2103 0.1023 1
P4 P 0.1251 0.8138 0.5997 1
P5 P 0.1368 0.9729 0.4256 1
P6 P 0.1386 0.0679 0.9232 1
P7 P 0.1573 0.5079 0.3889 1
P8 P 0.1615 0.4918 0.8888 1
O1 O 0.0000 0.2264 0.5000 1
O2 O 0.0000 0.8069 0.0000 1
O3 O 0.0010 0.2546 0.6760 1
O4 O 0.0139 0.8134 0.1743 1
O5 O 0.0251 0.5838 0.0892 1
O6 O 0.0388 0.3086 0.0911 1
O7 O 0.0485 0.4515 0.5745 1
O8 O 0.0494 0.7206 0.5786 1
O9 O 0.0696 0.9502 0.3533 1
O10 O 0.0798 0.1088 0.8439 1
O11 O 0.0870 0.5964 0.4241 1
O12 O 0.0990 0.0940 0.0220 1
O13 O 0.0999 0.4334 0.9582 1
O14 O 0.1102 0.9426 0.5299 1
O15 O 0.1147 0.1400 0.1959 1
O16 O 0.1334 0.2374 0.5984 1
O17 O 0.1328 0.8606 0.6985 1
O18 O 0.1338 0.4465 0.7920 1
O19 O 0.1361 0.7580 0.0783 1
O20 O 0.1441 0.4500 0.2925 1
O21 O 0.1570 0.9109 0.9205 1
O22 O 0.1654 0.1248 0.4300 1
O23 O 0.1666 0.6503 0.9048 1
O24 O 0.1677 0.3852 0.4600 1
O25 O 0.1929 0.2855 0.0806 1
O26 O 0.1990 0.7361 0.5651 1
O27 O 0.2113 0.8738 0.4143 1
O28 O 0.2197 0.1488 0.9308 1
O29 O 0.2350 0.5997 0.4066 1
O30 O 0.2439 0.4283 0.9286 1

---

# YAs2Se GGA-PBEsol relaxed
# - total DFT energy (no corrections) (eV/atom) = -6.01
# - D(E_F) (states/eV per cell) = 1.2
# - M_tot (μB per cell) = 0.000
data_YAs2Se
_chemical_formula_sum 'Y1 As2 Se1'
_symmetry_space_group_name_H-M 'P 4 m m'
_symmetry_Int_Tables_number 99
_symmetry_space_group_name_Hall 'P 4 -2'
_cell_length_a 3.8445
_cell_length_b 3.8445
_cell_length_c 5.9831
_cell_angle_alpha 90.00
_cell_angle_beta 90.00
_cell_angle_gamma 90.00
loop_
_atom_site_label
_atom_site_type_symbol
_atom_site_fract_x
_atom_site_fract_y
_atom_site_fract_z
_atom_site_occupancy
Y1 Y 0.0000 0.0000 0.0000 1
As1 As 0.0000 0.0000 0.4694 1
As2 As 0.5000 0.5000 0.3971 1
Se1 Se 0.5000 0.5000 0.8743 1

---

# CoBiS2 GGA-PBEsol relaxed
# - total DFT energy (no corrections) (eV/atom) = -5.00
# - D(E_F) (states/eV per cell) = 17.6
# - M_tot (μB per cell) = 6.000
data_CoBiS2
_chemical_formula_sum 'Co3 Bi3 S6'
_symmetry_space_group_name_H-M 'R -3 m'
_symmetry_Int_Tables_number 166
_symmetry_space_group_name_Hall '-R 3 2"'
_cell_length_a 4.0274
_cell_length_b 4.0274
_cell_length_c 21.8276
_cell_angle_alpha 90.00
_cell_angle_beta 90.00
_cell_angle_gamma 120.00
loop_
_atom_site_label
_atom_site_type_symbol
_atom_site_fract_x
_atom_site_fract_y
_atom_site_fract_z
_atom_site_occupancy
Co1 Co 0.0000 0.0000 0.0000 1
Bi1 Bi 0.0000 0.0000 0.5000 1
S1 S 0.0000 0.0000 0.0958 1

---

# ZrBeOs2 GGA-PBEsol relaxed
# - total DFT energy (no corrections) (eV/atom) = -9.30
# - D(E_F) (states/eV per cell) = 6.1
# - M_tot (μB per cell) = 0.000
data_ZrBeOs2
_chemical_formula_sum 'Zr2 Be2 Os4'
_symmetry_space_group_name_H-M 'C m m m'
_symmetry_Int_Tables_number 65
_symmetry_space_group_name_Hall '-C 2 2'
_cell_length_a 3.1438
_cell_length_b 4.6045
_cell_length_c 7.7812
_cell_angle_alpha 90.00
_cell_angle_beta 90.00
_cell_angle_gamma 90.00
loop_
_atom_site_label
_atom_site_type_symbol
_atom_site_fract_x
_atom_site_fract_y
_atom_site_fract_z
_atom_site_occupancy
Zr1 Zr 0.0000 0.0000 0.0000 1
Be1 Be 0.0000 0.0000 0.5000 1
Os1 Os 0.0000 0.5000 0.2849 1

---

# GeSbTe2F GGA-PBEsol relaxed
# - total DFT energy (no corrections) (eV/atom) = -3.67
# - D(E_F) (states/eV per cell) = 2.8
# - M_tot (μB per cell) = 0.000
data_GeSbTe2F
_chemical_formula_sum 'Ge1 Sb1 Te2 F1'
_symmetry_space_group_name_H-M 'P 4/m m m'
_symmetry_Int_Tables_number 123
_symmetry_space_group_name_Hall '-P 4 2'
_cell_length_a 5.2984
_cell_length_b 5.2984
_cell_length_c 4.3403
_cell_angle_alpha 90.00
_cell_angle_beta 90.00
_cell_angle_gamma 90.00
loop_
_atom_site_label
_atom_site_type_symbol
_atom_site_fract_x
_atom_site_fract_y
_atom_site_fract_z
_atom_site_occupancy
Ge1 Ge 0.0000 0.0000 0.0000 1
Sb1 Sb 0.5000 0.5000 0.0000 1
Te1 Te 0.0000 0.5000 0.5000 1
F1 F 0.5000 0.5000 0.5000 1